This record from the Alexandria database describes an optimized crystal structure of Er6TmTl. The functional is PBE.

Properties
The energy comes out at -4.250 eV per atom. The calculation puts the formation energy at 21 kJ/mol of formula units. The total magnetization is 0.0 Bohr magnetons per cell.

abc: 6.241 6.241 6.241
angles: 93.75 93.75 93.75
Positions (direct):
Er1 0.035 0.757 0.544
Er2 0.243 0.456 0.965
Er3 0.456 0.965 0.243
Er4 0.544 0.035 0.757
Er5 0.757 0.544 0.035
Er6 0.965 0.243 0.456
Tm1 0.500 0.500 0.500
Tl1 0.000 0.000 0.000